Entry 1:
Material: PmTlGa
Method: DFT, PBE
State: optimized geometry

Cell: 5.052 5.052 5.052 Å, 60.00 60.00 60.00°
Sites, in units of the cell vectors:
Pm  0.000  0.000  0.000
Ga  0.250  0.250  0.250
Tl  0.750  0.750  0.750

Values from the calculation:
Calculated volume ... 91 Å³/cell
Crystal system ... cubic
Energy relative to the lowest polymorph listed for this composition ... 248 meV/atom
SG ... F-43m (216)

Entry 2:
Material: PmTlGa
Method: DFT, PBE
State: optimized geometry

Cell: 4.879 4.879 4.879 Å, 60.00 60.00 60.00°
Sites, in units of the cell vectors:
Pm  0.250  0.250  0.250
Ga  0.000  0.000  0.000
Tl  0.750  0.750  0.750

Values from the calculation:
Calculated volume ... 82 Å³/cell
Crystal system ... cubic
Energy relative to the lowest polymorph listed for this composition ... 0 meV/atom
SG ... F-43m (216)

Entry 3:
Material: PmTmGa3
Method: DFT, PBE
State: optimized geometry

Cell: 12.924 12.924 4.174 Å, 90.00 90.00 161.14°
Sites, in units of the cell vectors:
Tm  0.796  0.204  0.250
Tm  0.204  0.796  0.750
Ga  0.524  0.476  0.750
Ga  0.322  0.678  0.750
Ga  0.678  0.322  0.250
Ga  0.476  0.524  0.250
Ga  0.621  0.379  0.750
Ga  0.379  0.621  0.250
Pm  0.926  0.074  0.750
Pm  0.074  0.926  0.250

Values from the calculation:
Calculated volume ... 225 Å³/cell
Crystal system ... orthorhombic
SG ... Cmcm (63)

Entry 4:
Material: PmGaW
Method: DFT, PBE
State: optimized geometry

Cell: 4.602 4.602 4.602 Å, 60.00 60.00 60.00°
Last column: magnetic moment on the atom in μB.
Sites, in units of the cell vectors:
Pm  0.250  0.250  0.250  0.00
Ga  0.000  0.000  0.000  -0.03
W  0.750  0.750  0.750  0.81

Values from the calculation:
Calculated volume ... 69 Å³/cell
Crystal system ... cubic
Energy relative to the lowest polymorph listed for this composition ... 0 meV/atom
SG ... F-43m (216)

Entry 5:
Material: PmGaW
Method: DFT, PBE
State: optimized geometry

Cell: 4.829 4.829 4.829 Å, 60.00 60.00 60.00°
Last column: magnetic moment on the atom in μB.
Sites, in units of the cell vectors:
W  0.000  0.000  0.000  2.00
Pm  0.250  0.250  0.250  0.15
Ga  0.500  0.500  0.500  -0.09

Values from the calculation:
Calculated volume ... 80 Å³/cell
Crystal system ... cubic
Energy relative to the lowest polymorph listed for this composition ... 784 meV/atom
SG ... F-43m (216)

Entry 6:
Material: PmYGa4
Method: DFT, PBE
State: optimized geometry

Cell: 4.235 4.235 8.361 Å, 90.00 90.00 120.00°
Sites, in units of the cell vectors:
Ga  0.333  0.667  0.245
Ga  0.667  0.333  0.245
Ga  0.667  0.333  0.755
Ga  0.333  0.667  0.755
Pm  0.000  0.000  0.500
Y  0.000  0.000  0.000

Values from the calculation:
Calculated volume ... 130 Å³/cell
Crystal system ... hexagonal
SG ... P6/mmm (191)

Across the entries above, total energy takes the values -10.2 -11.0 -21.6 -18.9 -16.5 -27.4 eV/f.u., respectively.